{
  "formula": "MgIr3",
  "functional": "PBE",
  "state": "optimized geometry",
  "lattice_angstrom": [[5.482, 0.000, 0.000], [0.000, 7.820, 0.000], [0.000, 0.000, 2.758]],
  "species": ["Mg", "Mg", "Ir", "Ir", "Ir", "Ir", "Ir", "Ir"],
  "frac_coords": [[0.000, 0.000, 0.000], [0.500, 0.500, 0.000], [0.000, 0.500, 0.000], [0.250, 0.250, 0.500], [0.250, 0.750, 0.500], [0.500, 0.000, 0.000], [0.750, 0.250, 0.500], [0.750, 0.750, 0.500]],
  "e_tot_ev_per_atom": -7.236,
  "sg": "Cmmm",
  "crystal_system": "orthorhombic"
}